# 1
{"formula": "La3BeRh", "functional": "GGA-PBE", "state": "relaxed", "cell": [[5.5045, 0.0000, 0.0000], [0.0000, 5.5045, 0.0000], [0.0000, 0.0000, 5.5045]], "species": ["La", "La", "La", "Rh", "Be"], "fractional_positions": [[0.0000, 0.5000, 0.0000], [0.0000, 0.0000, 0.5000], [0.5000, 0.0000, 0.0000], [0.0000, 0.0000, 0.0000], [0.5000, 0.5000, 0.5000]], "ef_kj_per_mol_fu": 58, "volume_a3_per_cell": 166.8}

***

# 2
{"formula": "La2BeRh", "functional": "GGA-PBE", "state": "relaxed", "cell": [[-0.0381, 2.1655, 2.5013], [-2.8217, 1.2855, -1.1559], [-4.3984, -5.4625, 4.6620]], "species": ["Be", "Rh", "La", "La"], "fractional_positions": [[0.5000, 0.5000, 0.6725], [0.0000, 0.0000, 0.5849], [0.0000, 0.0000, 0.9150], [0.5000, 0.5000, 0.3275]], "ef_kj_per_mol_fu": -73, "volume_a3_per_cell": 92.2}

***

# 3
{"formula": "La2BeRh2", "functional": "GGA-PBE", "state": "relaxed", "cell": [[7.0351, 0.0000, 0.0000], [0.0000, 7.0351, 0.0000], [0.0000, 0.0000, 4.2859]], "species": ["La", "La", "La", "La", "Rh", "Rh", "Rh", "Rh", "Be", "Be"], "fractional_positions": [[0.8261, 0.3261, 0.5000], [0.3261, 0.1739, 0.5000], [0.6739, 0.8261, 0.5000], [0.1739, 0.6739, 0.5000], [0.1438, 0.3562, 0.0000], [0.8562, 0.6438, 0.0000], [0.6438, 0.1438, 0.0000], [0.3562, 0.8562, 0.0000], [0.5000, 0.5000, 0.0000], [0.0000, 0.0000, 0.0000]], "ef_kj_per_mol_fu": -195, "volume_a3_per_cell": 212.1}

***

# 4
{"formula": "LaBe2Rh", "functional": "GGA-PBE", "state": "relaxed", "cell": [[4.5928, 0.0079, -0.0149], [-1.6315, 4.2933, -0.0149], [0.0193, 0.0281, 3.3481]], "species": ["Be", "Be", "La", "Rh"], "fractional_positions": [[0.5000, 0.5000, 0.0000], [0.0000, 0.0000, 0.0000], [0.5000, 0.0000, 0.5000], [0.0000, 0.5000, 0.5000]], "ef_kj_per_mol_fu": 97, "volume_a3_per_cell": 66.1}

***

# 5
{"formula": "La2BeRh", "functional": "GGA-PBE", "state": "relaxed", "cell": [[4.0703, -0.0233, 0.0148], [2.0736, 3.5026, 0.0148], [1.9781, 1.1202, 7.5310]], "species": ["Be", "La", "La", "Rh"], "fractional_positions": [[0.7500, 0.7500, 0.7500], [0.9919, 0.9919, 0.0243], [0.5081, 0.5081, 0.4757], [0.2500, 0.2500, 0.2500]], "ef_kj_per_mol_fu": -32, "volume_a3_per_cell": 107.6}

***

# 6
{"formula": "LaBe2Rh", "functional": "GGA-PBE", "state": "relaxed", "cell": [[3.8698, 0.0000, 0.0000], [0.0000, 3.8722, 0.0000], [0.0000, 0.0000, 4.7391]], "species": ["Be", "Be", "La", "Rh"], "fractional_positions": [[0.0000, 0.0000, 0.0000], [0.5000, 0.5000, 0.0000], [0.5000, 0.0000, 0.5000], [0.0000, 0.5000, 0.5000]], "ef_kj_per_mol_fu": 107, "volume_a3_per_cell": 71.0}

***

# 7
{"formula": "LaBe2Rh", "functional": "GGA-PBE", "state": "relaxed", "cell": [[-4.0807, 1.9163, 0.4844], [-1.9680, -3.8355, -1.4052], [-0.1282, -1.0268, 2.9821]], "species": ["Rh", "Be", "Be", "La"], "fractional_positions": [[0.0000, 0.5000, 0.5000], [0.0000, 0.0000, 0.0000], [0.5000, 0.5000, 0.0000], [0.5000, 0.0000, 0.5000]], "ef_kj_per_mol_fu": 149, "volume_a3_per_cell": 64.9}

***

# 8
{"formula": "LaBeRh4", "functional": "GGA-PBE", "state": "relaxed", "cell": [[0.0000, 3.7287, 3.7287], [3.7287, 0.0000, 3.7287], [3.7287, 3.7287, 0.0000]], "species": ["Rh", "Rh", "Rh", "Rh", "Be", "La"], "fractional_positions": [[0.6241, 0.6241, 0.1278], [0.1278, 0.6241, 0.6241], [0.6241, 0.6241, 0.6241], [0.6241, 0.1278, 0.6241], [0.2500, 0.2500, 0.2500], [0.0000, 0.0000, 0.0000]], "ef_kj_per_mol_fu": -68, "volume_a3_per_cell": 103.7}

***

# 9
{"formula": "LaBe2Rh", "functional": "GGA-PBE", "state": "relaxed", "cell": [[4.6840, 0.0125, 0.0000], [0.8025, 4.6148, 0.0000], [-2.7432, -2.3137, 3.0103]], "species": ["La", "Be", "Be", "Rh"], "fractional_positions": [[0.2500, 0.7500, 0.5000], [0.5000, 0.5000, 0.0000], [0.0000, 0.0000, 0.0000], [0.7500, 0.2500, 0.5000]], "ef_kj_per_mol_fu": 21, "volume_a3_per_cell": 65.0}

***

# 10
{"formula": "LaBe3Rh", "functional": "GGA-PBE", "state": "relaxed", "cell": [[-3.0877, -0.7921, -2.9477], [3.0468, -0.5483, -3.0442], [0.1831, -4.2335, 0.9458]], "species": ["Be", "Be", "Be", "Rh", "La"], "fractional_positions": [[0.5000, 0.0000, 0.0000], [0.0000, 0.0000, 0.5000], [0.0000, 0.5000, 0.0000], [0.0000, 0.0000, 0.0000], [0.5000, 0.5000, 0.5000]], "ef_kj_per_mol_fu": -118, "volume_a3_per_cell": 81.8}

***

# 11
{"formula": "La2BeRh", "functional": "GGA-PBE", "state": "relaxed", "cell": [[-6.9882, 0.3263, -3.5549], [1.0821, -7.2531, -2.7928], [-4.3513, -4.6872, -0.5374]], "species": ["Rh", "Rh", "La", "La", "La", "La", "Be", "Be"], "fractional_positions": [[0.0000, 0.0000, 0.0000], [0.7500, 0.2500, 0.5000], [0.8750, 0.9043, 0.7500], [0.3750, 0.3457, 0.7500], [0.0957, 0.6250, 0.2500], [0.6543, 0.1250, 0.2500], [0.5000, 0.5000, 0.0000], [0.2500, 0.7500, 0.5000]], "ef_kj_per_mol_fu": 36, "volume_a3_per_cell": 198.6}

***

# 12
{"formula": "LaBe3Rh", "functional": "GGA-PBE", "state": "relaxed", "cell": [[4.6819, 0.0000, 0.0000], [0.0000, 4.6819, 0.0000], [0.0000, 0.0000, 4.6819]], "species": ["Be", "Be", "Be", "Rh", "La"], "fractional_positions": [[0.5000, 0.0000, 0.0000], [0.0000, 0.0000, 0.5000], [0.0000, 0.5000, 0.0000], [0.5000, 0.5000, 0.5000], [0.0000, 0.0000, 0.0000]], "ef_kj_per_mol_fu": 1087, "volume_a3_per_cell": 102.6}

***

Q: Which magnetic moment values were calculated for the entries above? A: 0.00, 0.00, 0.00, 0.00, 0.00, 0.00, 0.00, 0.00, 0.00, 0.00, 0.00, 0.00, in μB/cell.
Q: Which final energy values were calculated for the entries above? A: -25.26, -21.69, -60.62, -18.72, -21.26, -18.63, -18.18, -38.77, -19.51, -24.68, -41.11, -12.19, in eV per cell.